(1)
DFT (SCAN) results for a PBEsol-optimized structure of KMg2ReI.

a b c (Å): 6.4322 6.4322 6.0751
angles (deg): 90.00 90.00 90.00
Fractional coordinates of all 5 atoms:
K 0.0000 0.0000 0.0000
Mg 0.0000 0.5000 0.0000
Mg 0.5000 0.0000 0.0000
Re 0.5000 0.5000 0.5000
I 0.0000 0.0000 0.5000

The value obtained for the electronic total energy is -117.30 eV/f.u. Its symmetry is P4/mmm (123).

(2)
DFT (SCAN) results for a PBEsol-optimized structure of YOs2Au.

a b c (Å): 3.3744 3.3744 6.1719
angles (deg): 90.00 90.00 90.00
Fractional coordinates of all 4 atoms:
Y 0.0000 0.0000 0.0000
Os 0.5000 0.5000 0.2876
Os 0.5000 0.5000 0.7124
Au 0.0000 0.0000 0.5000

Its symmetry is P4/mmm (123). For the formation enthalpy at 0 K, the calculation gives 483 meV/atom. For the energy above the most stable polymorph in this dataset, the calculation gives 0.456 eV per atom.

(3)
DFT (SCAN) results for a PBEsol-optimized structure of Cs3PCl.

a b c (Å): 6.6179 6.6179 6.6179
angles (deg): 90.00 90.00 90.00
Fractional coordinates of all 5 atoms:
Cs 0.0000 0.0000 0.5000
Cs 0.0000 0.5000 0.0000
Cs 0.5000 0.0000 0.0000
P 0.0000 0.0000 0.0000
Cl 0.5000 0.5000 0.5000

The value obtained for the electronic total energy is -135.39 eV/f.u. Its symmetry is Pm-3m (221).

(4)
DFT (SCAN) results for a PBEsol-optimized structure of ZrTlRe2.

a b c (Å): 3.4502 3.4502 5.9601
angles (deg): 90.00 90.00 90.00
Fractional coordinates of all 4 atoms:
Zr 0.0000 0.0000 0.0000
Tl 0.0000 0.0000 0.5000
Re 0.5000 0.5000 0.2308
Re 0.5000 0.5000 0.7692

Its symmetry is P4/mmm (123). For the formation enthalpy at 0 K, the calculation gives 498 meV/atom. For the energy above the most stable polymorph in this dataset, the calculation gives 0.000 eV per atom.

(5)
DFT (SCAN) results for a PBEsol-optimized structure of MoOsAu2.

a b c (Å): 4.8441 4.8441 4.8441
angles (deg): 131.90 131.90 70.38
Fractional coordinates of all 4 atoms:
Mo 0.0000 0.0000 0.0000
Os 0.2500 0.7500 0.5000
Au 0.5000 0.5000 0.0000
Au 0.7500 0.2500 0.5000

Its symmetry is I-4m2 (119). For the formation enthalpy at 0 K, the calculation gives 335 meV/atom. For the energy above the most stable polymorph in this dataset, the calculation gives 0.172 eV per atom.

(6)
DFT (SCAN) results for a PBEsol-optimized structure of BeSb2Br.

a b c (Å): 3.2950 3.5770 8.6909
angles (deg): 90.00 90.00 90.00
Fractional coordinates of all 4 atoms:
Be 0.0000 0.0000 0.0000
Sb 0.0000 0.0000 0.7227
Sb 0.5000 0.5000 0.0858
Br 0.5000 0.5000 0.3766

Its symmetry is Pmm2 (25). For the energy above the most stable polymorph in this dataset, the calculation gives 0.000 eV per atom.

(7)
DFT (SCAN) results for a PBEsol-optimized structure of SiTeW2.

a b c (Å): 6.5040 6.5040 6.5040
angles (deg): 150.81 148.46 43.51
Fractional coordinates of all 4 atoms:
Si 0.0000 0.0000 0.0000
Te 0.2532 0.7532 0.5000
W 0.4399 0.4399 0.0000
W 0.6433 0.1433 0.5000

Its symmetry is Imm2 (44). For the energy above the most stable polymorph in this dataset, the calculation gives 0.000 eV per atom.

(8)
DFT (SCAN) results for a PBEsol-optimized structure of In2AsBrO.

a b c (Å): 5.9576 5.9576 5.0107
angles (deg): 90.00 90.00 90.00
Fractional coordinates of all 5 atoms:
In 0.0000 0.5000 0.0000
In 0.5000 0.0000 0.0000
As 0.0000 0.0000 0.5000
Br 0.0000 0.0000 0.0000
O 0.5000 0.5000 0.5000

The value obtained for the electronic total energy is -108.17 eV/f.u. Its symmetry is P4/mmm (123).